Y8Er2Sc after structural relaxation. Source: the Alexandria database, functional PBE.

Cell lengths 9.9494, 9.9494, 5.6229 Å; angles 92.44, 92.44, 40.58 degrees
Closest atoms and distances in Å follow each position.
Atoms (fractional coordinates):
Y (0.0467, 0.0467, 0.2328)  1 Y 3.08, 1 Er 3.17
Y (0.1062, 0.6344, 0.2641)  6 Y 3.26-3.65, 2 Er 3.39-3.61, 1 Sc 3.42
Y (0.3154, 0.3154, 0.7672)  4 Er 3.36-3.50, 4 Y 3.45-3.56, 1 Sc 3.63
Y (0.3656, 0.8938, 0.7359)  6 Y 3.26-3.65, 2 Er 3.39-3.61, 1 Sc 3.42
Y (0.6344, 0.1062, 0.2641)  6 Y 3.26-3.65, 2 Er 3.39-3.61, 1 Sc 3.42
Y (0.6846, 0.6846, 0.2328)  4 Er 3.36-3.50, 4 Y 3.45-3.56, 1 Sc 3.63
Y (0.8938, 0.3656, 0.7359)  6 Y 3.26-3.65, 2 Er 3.39-3.61, 1 Sc 3.42
Y (0.9533, 0.9533, 0.7672)  1 Y 3.08, 1 Er 3.17
Er (0.2168, 0.2168, 0.2531)  7 Y 3.17-3.50
Er (0.7832, 0.7832, 0.7469)  7 Y 3.17-3.50
Sc (0.5000, 0.5000, 0.0000)  10 Y 3.42-3.78

Output
VASP energy (Ry per atom): -0.435
Calculated volume (A^3/atom): 32.88
Space group: C2/m, No. 12
ΔE to the lowest computed polymorph (meV per atom): 0.0
Calculated formation energy (meV per atom): 188

SiP2RhW after structural relaxation. Source: the Alexandria database, functional PBE.

Cell lengths 4.4033, 4.4033, 4.3225 Å; angles 90.00, 90.00, 90.00 degrees
Closest atoms and distances in Å follow each position.
Atoms (fractional coordinates):
Si (0.0000, 0.0000, 0.0000)  2 Rh 2.16, 4 P 2.20
P (0.0000, 0.5000, 0.0000)  2 Si 2.20
P (0.5000, 0.0000, 0.0000)  2 Si 2.20
Rh (0.0000, 0.0000, 0.5000)  2 Si 2.16
W (0.5000, 0.5000, 0.5000)  8 P 3.09, 4 Rh 3.11

Output
VASP energy (Ry per atom): -0.448
Calculated volume (A^3/atom): 16.76
Space group: P4/mmm, No. 123
Uncorrected formation energy (eV per atom): 1.210

CrCoHg3 after structural relaxation. Source: the Alexandria database, functional PBE.

Cell lengths 4.9594, 4.9594, 4.9594 Å; angles 90.00, 90.00, 90.00 degrees
Closest atoms and distances in Å follow each position.
Atoms (fractional coordinates):
Cr (0.0000, 0.0000, 0.0000)  12 Hg 3.51
Co (0.5000, 0.5000, 0.5000)  6 Hg 2.48
Hg (0.0000, 0.5000, 0.5000)  2 Co 2.48
Hg (0.5000, 0.0000, 0.5000)  2 Co 2.48
Hg (0.5000, 0.5000, 0.0000)  2 Co 2.48

Output
VASP energy (Ry per atom): -0.205
Calculated volume (A^3/atom): 24.40
Space group: Pm-3m, No. 221
ΔE to the lowest computed polymorph (meV per atom): 0.0
Calculated formation energy (meV per atom): 742

| no. | calculated density (g/cm³) |
| --- | --- |
| 1 | 5.01 |
| 2 | 7.47 |
| 3 | 9.70 |